! PuInAgGe | Alexandria via LeMat-Bulk | PBE | optimized geometry; values from VASP
&SYSTEM
  ibrav = 0, nat = 4, ntyp = 4
/
ATOMIC_SPECIES
Pu 244.00 Pu.upf
In 114.82 In.upf
Ag 107.87 Ag.upf
Ge 72.64 Ge.upf
CELL_PARAMETERS angstrom
0.000 3.534 3.534
3.534 0.000 3.534
3.534 3.534 0.000
ATOMIC_POSITIONS crystal
Pu 0.000 0.000 0.000
In 0.500 0.500 0.500
Ag 0.750 0.750 0.750
Ge 0.250 0.250 0.250
! energy relative to the elements = -0.473 eV/f.u.
! VASP energy = -6.253 eV per atom
! spin magnetization = 5.80 μB per formula unit